No. 1
Computed, not measured: a relaxed structure of HfTaNb at the PBE-GGA level of DFT.

Cell: 4.8824 4.8817 5.7542 Å, 90.00 90.00 120.00°
Atoms (fractional coordinates):
Ta 0.1667 0.8334 0.2500
Ta 0.8333 0.1666 0.7500
Nb 0.8334 0.1668 0.2500
Nb 0.1666 0.8332 0.7500
Hf 0.5000 0.5000 0.5000
Hf 0.5000 0.5000 0.0000

Calculated values
ρ = 12.649 g/cm3
Distance to the lowest polymorph of the same formula = 0.133 eV/atom



No. 2
Computed, not measured: a relaxed structure of Hf2TaNb at the PBE-GGA level of DFT.

Cell: 7.6189 7.6189 6.1110 Å, 51.44 51.44 90.00°
Atoms (fractional coordinates):
Ta 0.0000 0.0000 0.0000
Ta 0.7500 0.2500 0.5000
Hf 0.8750 0.8728 0.7500
Hf 0.1272 0.6250 0.2500
Hf 0.6228 0.1250 0.2500
Hf 0.3750 0.3772 0.7500
Nb 0.2500 0.7500 0.5000
Nb 0.5000 0.5000 0.0000

Calculated values
ρ = 12.513 g/cm3
Distance to the lowest polymorph of the same formula = 0.536 eV/atom



No. 3
Computed, not measured: a relaxed structure of Hf2TaNb at the PBE-GGA level of DFT.

Cell: 4.8342 4.8342 4.8342 Å, 60.00 60.00 60.00°
Atoms (fractional coordinates):
Hf 0.7500 0.7500 0.7500
Hf 0.2500 0.2500 0.2500
Nb 0.0000 0.0000 0.0000
Ta 0.5000 0.5000 0.5000

Calculated values
ρ = 13.113 g/cm3
Distance to the lowest polymorph of the same formula = 0.008 eV/atom



Number 1 is which compound? HfTaNb



Number 1 is which compound? HfTaNb